Computed, not measured: an optimized crystal structure of SbWI2O at the PBE+U level of DFT.

Results
space-group type	P4/mmm
total energy	-3.072	eV per atom
E above lowest polymorph	911	meV per atom

Unit cell a=5.1817 b=5.1817 c=4.6950 alpha=90.00 beta=90.00 gamma=90.00
Element x y z (fractional)
Sb1 0.0000 0.0000 0.0000
W1 0.5000 0.5000 0.0000
I1 0.0000 0.5000 0.5000
I2 0.5000 0.0000 0.5000
O1 0.0000 0.0000 0.5000